No. 1
The following is a DFT calculation (GGA-PBE) of Ce8Rh6Pb after structural relaxation.

Cell: 7.3212 7.3212 7.3212 Å, 88.15 88.15 88.15°
Closest atoms and distances in Å follow each position.
Fractional positions:
1 Ce 0.7548 0.7548 0.7548  3 Rh 2.75
2 Ce 0.2567 0.6228 0.9001  4 Rh 2.75-2.94
3 Ce 0.0999 0.7433 0.3772  4 Rh 2.75-2.94
4 Ce 0.7433 0.3772 0.0999  4 Rh 2.75-2.94
5 Ce 0.2452 0.2452 0.2452  3 Rh 2.75
6 Ce 0.3772 0.0999 0.7433  4 Rh 2.75-2.94
7 Ce 0.6228 0.9001 0.2567  4 Rh 2.75-2.94
8 Ce 0.9001 0.2567 0.6228  4 Rh 2.75-2.94
9 Rh 0.7572 0.5846 0.4257  5 Ce 2.75-2.94, 4 Rh 2.88-2.92
10 Rh 0.2428 0.4154 0.5743  5 Ce 2.75-2.94, 4 Rh 2.88-2.92
11 Rh 0.4154 0.5743 0.2428  5 Ce 2.75-2.94, 4 Rh 2.88-2.92
12 Rh 0.4257 0.7572 0.5846  5 Ce 2.75-2.94, 4 Rh 2.88-2.92
13 Rh 0.5743 0.2428 0.4154  5 Ce 2.75-2.94, 4 Rh 2.88-2.92
14 Rh 0.5846 0.4257 0.7572  5 Ce 2.75-2.94, 4 Rh 2.88-2.92
15 Pb 0.0000 0.0000 0.0000  8 Ce 3.21-3.38

Properties
Crystal system: trigonal
Space group: R-3 (148)

***

No. 2
The following is a DFT calculation (GGA-PBE) of CeRhPb after structural relaxation.

Cell: 3.4156 3.4156 6.4001 Å, 105.48 105.48 90.00°
Closest atoms and distances in Å follow each position.
Fractional positions:
1 Ce 0.5928 0.5928 0.1855  4 Rh 2.93
2 Rh 0.9522 0.9522 0.9044  4 Ce 2.93, 4 Pb 2.98
3 Pb 0.3050 0.3050 0.6100  4 Rh 2.98

Properties
Crystal system: tetragonal
Space group: I4mm (107)

***

No. 3
The following is a DFT calculation (GGA-PBE) of Ce2Rh2Pb after structural relaxation.

Cell: 4.7313 4.7313 6.0163 Å, 66.85 66.85 60.00°
Closest atoms and distances in Å follow each position.
Fractional positions:
1 Ce 0.2908 0.2908 0.1277  3 Rh 2.83, 3 Ce 3.06
2 Ce 0.7092 0.7092 0.8723  3 Rh 2.83, 3 Ce 3.06
3 Pb 0.5000 0.5000 0.5000  6 Rh 3.01, 2 Ce 3.36
4 Rh 0.9116 0.9116 0.2652  3 Ce 2.83, 1 Rh 2.84, 3 Pb 3.01
5 Rh 0.0884 0.0884 0.7348  3 Ce 2.83, 1 Rh 2.84, 3 Pb 3.01

Properties
Crystal system: trigonal
Space group: R-3m (166)

***

No. 4
The following is a DFT calculation (GGA-PBE) of Ce5Rh2Pb2 after structural relaxation.

Cell: 7.2210 8.5816 9.0920 Å, 118.16 90.00 90.00°
Closest atoms and distances in Å follow each position.
Fractional positions:
1 Pb 0.5000 0.2847 0.5695  7 Ce 3.27-3.45
2 Pb 0.0000 0.7847 0.5695  7 Ce 3.27-3.45
3 Pb 0.0000 0.2153 0.4305  7 Ce 3.27-3.45
4 Pb 0.5000 0.7153 0.4305  7 Ce 3.27-3.45
5 Rh 0.6552 0.8860 0.0000  5 Ce 2.67-2.95, 1 Rh 2.98
6 Rh 0.8448 0.3860 0.0000  5 Ce 2.67-2.95, 1 Rh 2.98
7 Rh 0.1552 0.6140 0.0000  5 Ce 2.67-2.95, 1 Rh 2.98
8 Rh 0.3448 0.1140 0.0000  5 Ce 2.67-2.95, 1 Rh 2.98
9 Ce 0.8507 0.5620 0.7645  3 Rh 2.95-3.15, 1 Pb 3.27
10 Ce 0.6493 0.0620 0.7645  3 Rh 2.95-3.15, 1 Pb 3.27
11 Ce 0.5000 0.5000 0.0000  2 Rh 2.67
12 Ce 0.3507 0.7025 0.7645  3 Rh 2.95-3.15, 1 Pb 3.27
13 Ce 0.8507 0.7975 0.2355  3 Rh 2.95-3.15, 1 Pb 3.27
14 Ce 0.0000 0.0000 0.0000  2 Rh 2.67
15 Ce 0.3507 0.9380 0.2355  3 Rh 2.95-3.15, 1 Pb 3.27
16 Ce 0.6493 0.2975 0.2355  3 Rh 2.95-3.15, 1 Pb 3.27
17 Ce 0.1493 0.4380 0.2355  3 Rh 2.95-3.15, 1 Pb 3.27
18 Ce 0.1493 0.2025 0.7645  3 Rh 2.95-3.15, 1 Pb 3.27

Properties
Crystal system: orthorhombic
Space group: Cmce (64)

***

| no. | calculated total energy (eV for the cell shown) | E_form (meV per atom) |
| --- | --- | --- |
| 1 | -102.4 | -472 |
| 2 | -18.2 | -409 |
| 3 | -33.3 | -599 |
| 4 | -112.1 | -473 |